1.
A relaxed structure of Li2TiVO5. Source: Alexandria via LeMat-Bulk, functional PBE with a Hubbard U.

CIF file:
```
data_Li2TiVO5
_chemical_formula_sum 'Li4 Ti2 V2 O10'
_symmetry_space_group_name_H-M 'P 4/n m m'
_symmetry_Int_Tables_number 129
_cell_length_a 6.719
_cell_length_b 6.719
_cell_length_c 4.602
_cell_angle_alpha 90.00
_cell_angle_beta 90.00
_cell_angle_gamma 90.00
loop_
_symmetry_equiv_pos_as_xyz
'x,y,z'
'-x,-y,-z'
'-y+1/2,x,z'
'y+1/2,-x,-z'
'-x+1/2,-y+1/2,z'
'x+1/2,y+1/2,-z'
'y,-x+1/2,z'
'-y,x+1/2,-z'
'x+1/2,-y,-z'
'-x+1/2,y,z'
'-y,-x,-z'
'y,x,z'
'-x,y+1/2,-z'
'x,-y+1/2,z'
'y+1/2,x+1/2,-z'
'-y+1/2,-x+1/2,z'
loop_
_atom_site_label
_atom_site_type_symbol
_atom_site_fract_x
_atom_site_fract_y
_atom_site_fract_z
Li1 Li 0.000 0.000 0.000
Ti1 Ti 0.250 0.750 0.500
V1 V 0.250 0.250 0.391
O1 O 0.031 0.750 0.737
O2 O 0.250 0.250 0.758
```

Values from the calculation:
D(E_F) (states/eV per cell): 0.00
Calculated total energy (eV per atom): -7.297

2.
A relaxed structure of Li2Ti4VO8. Source: Alexandria via LeMat-Bulk, functional PBE with a Hubbard U.

CIF file:
```
data_Li2Ti4VO8
_chemical_formula_sum 'Li4 Ti8 V2 O16'
_symmetry_space_group_name_H-M 'C 1 2/m 1'
_symmetry_Int_Tables_number 12
_cell_length_a 10.282
_cell_length_b 5.868
_cell_length_c 5.926
_cell_angle_alpha 90.00
_cell_angle_beta 124.88
_cell_angle_gamma 90.00
loop_
_symmetry_equiv_pos_as_xyz
'x,y,z'
'-x,-y,-z'
'-x,y,-z'
'x,-y,z'
'x+1/2,y+1/2,z'
'-x+1/2,-y+1/2,-z'
'-x+1/2,y+1/2,-z'
'x+1/2,-y+1/2,z'
loop_
_atom_site_label
_atom_site_type_symbol
_atom_site_fract_x
_atom_site_fract_y
_atom_site_fract_z
Li1 Li 0.250 0.250 0.000
Ti1 Ti 0.000 0.000 0.000
Ti2 Ti 0.000 0.500 0.500
Ti3 Ti 0.250 0.250 0.500
V1 V 0.000 0.500 0.000
O1 O 0.001 0.251 0.251
O2 O 0.245 0.500 0.268
O3 O 0.249 0.000 0.243
```

Values from the calculation:
D(E_F) (states/eV per cell): 8.59
Calculated total energy (eV per atom): -8.046

3.
A relaxed structure of Li2TiV2O6. Source: Alexandria via LeMat-Bulk, functional PBE with a Hubbard U.

CIF file:
```
data_Li2TiV2O6
_chemical_formula_sum 'Li4 Ti2 V4 O12'
_symmetry_space_group_name_H-M 'C 1 2/m 1'
_symmetry_Int_Tables_number 12
_cell_length_a 12.969
_cell_length_b 2.995
_cell_length_c 6.066
_cell_angle_alpha 90.00
_cell_angle_beta 103.50
_cell_angle_gamma 90.00
loop_
_symmetry_equiv_pos_as_xyz
'x,y,z'
'-x,-y,-z'
'-x,y,-z'
'x,-y,z'
'x+1/2,y+1/2,z'
'-x+1/2,-y+1/2,-z'
'-x+1/2,y+1/2,-z'
'x+1/2,-y+1/2,z'
loop_
_atom_site_label
_atom_site_type_symbol
_atom_site_fract_x
_atom_site_fract_y
_atom_site_fract_z
Li1 Li 0.163 0.000 0.321
Ti1 Ti 0.000 0.500 0.500
V1 V 0.161 0.000 0.848
O1 O 0.000 0.000 0.286
O2 O 0.157 0.500 0.601
O3 O 0.177 0.500 0.080
```

Values from the calculation:
Calculated total energy (eV per atom): -7.461
E above lowest polymorph (eV per atom): 0.000

4.
A relaxed structure of Li2Ti2V3O10. Source: Alexandria via LeMat-Bulk, functional PBE with a Hubbard U.

CIF file:
```
data_Li2Ti2V3O10
_chemical_formula_sum 'Li4 Ti4 V6 O20'
_symmetry_space_group_name_H-M 'P -1'
_symmetry_Int_Tables_number 2
_cell_length_a 5.225
_cell_length_b 8.431
_cell_length_c 9.846
_cell_angle_alpha 111.20
_cell_angle_beta 102.56
_cell_angle_gamma 94.31
loop_
_symmetry_equiv_pos_as_xyz
'x,y,z'
'-x,-y,-z'
loop_
_atom_site_label
_atom_site_type_symbol
_atom_site_fract_x
_atom_site_fract_y
_atom_site_fract_z
Li1 Li 0.002 0.168 0.272
Li2 Li 0.485 0.673 0.781
Ti1 Ti 0.039 0.586 0.403
Ti2 Ti 0.472 0.909 0.095
V1 V 0.000 0.000 0.500
V2 V 0.014 0.218 0.822
V3 V 0.483 0.283 0.671
V4 V 0.500 0.500 0.000
O1 O 0.153 0.622 0.611
O2 O 0.192 0.981 0.172
O3 O 0.206 0.818 0.394
O4 O 0.215 0.218 0.501
O5 O 0.236 0.424 0.783
O6 O 0.269 0.077 0.704
O7 O 0.305 0.673 0.122
O8 O 0.314 0.283 0.000
O9 O 0.321 0.512 0.330
O10 O 0.334 0.886 0.890
```

Values from the calculation:
Calculated total energy (eV per atom): -7.773

5.
A relaxed structure of Li4Ti5VO12. Source: Alexandria via LeMat-Bulk, functional PBE with a Hubbard U.

CIF file:
```
data_Li4Ti5VO12
_chemical_formula_sum 'Li8 Ti10 V2 O24'
_symmetry_space_group_name_H-M 'C 1 2/m 1'
_symmetry_Int_Tables_number 12
_cell_length_a 5.130
_cell_length_b 8.848
_cell_length_c 10.365
_cell_angle_alpha 90.00
_cell_angle_beta 98.78
_cell_angle_gamma 90.00
loop_
_symmetry_equiv_pos_as_xyz
'x,y,z'
'-x,-y,-z'
'-x,y,-z'
'x,-y,z'
'x+1/2,y+1/2,z'
'-x+1/2,-y+1/2,-z'
'-x+1/2,y+1/2,-z'
'x+1/2,-y+1/2,z'
loop_
_atom_site_label
_atom_site_type_symbol
_atom_site_fract_x
_atom_site_fract_y
_atom_site_fract_z
Li1 Li 0.085 0.168 0.258
Ti1 Ti 0.000 0.000 0.500
Ti2 Ti 0.000 0.167 0.000
Ti3 Ti 0.000 0.342 0.500
V1 V 0.000 0.500 0.000
O1 O 0.103 0.000 0.891
O2 O 0.148 0.319 0.890
O3 O 0.197 0.170 0.606
O4 O 0.218 0.500 0.612
```

Values from the calculation:
D(E_F) (states/eV per cell): 11.05
Calculated total energy (eV per atom): -7.793

6.
A relaxed structure of Li4Ti5V3O16. Source: Alexandria via LeMat-Bulk, functional PBE with a Hubbard U.

CIF file:
```
data_Li4Ti5V3O16
_chemical_formula_sum 'Li8 Ti10 V6 O32'
_symmetry_space_group_name_H-M 'C 1 m 1'
_symmetry_Int_Tables_number 8
_cell_length_a 10.341
_cell_length_b 5.946
_cell_length_c 9.633
_cell_angle_alpha 90.00
_cell_angle_beta 90.01
_cell_angle_gamma 90.00
loop_
_symmetry_equiv_pos_as_xyz
'x,y,z'
'x,-y,z'
'x+1/2,y+1/2,z'
'x+1/2,-y+1/2,z'
loop_
_atom_site_label
_atom_site_type_symbol
_atom_site_fract_x
_atom_site_fract_y
_atom_site_fract_z
Li1 Li 0.000 0.000 0.000
Li2 Li 0.006 0.000 0.501
Li3 Li 0.174 0.500 0.906
Li4 Li 0.346 0.000 0.404
Ti1 Ti 0.161 0.500 0.505
Ti2 Ti 0.333 0.500 0.237
Ti3 Ti 0.340 0.000 0.006
Ti4 Ti 0.413 0.245 0.727
V1 V 0.094 0.256 0.217
V2 V 0.180 0.000 0.717
O1 O 0.002 0.000 0.812
O2 O 0.005 0.000 0.313
O3 O 0.032 0.500 0.349
O4 O 0.088 0.257 0.599
O5 O 0.173 0.000 0.097
O6 O 0.183 0.500 0.111
O7 O 0.254 0.279 0.347
O8 O 0.273 0.227 0.852
O9 O 0.337 0.500 0.606
O10 O 0.351 0.000 0.608
O11 O 0.422 0.243 0.101
O12 O 0.487 0.000 0.843
```

Values from the calculation:
Calculated total energy (eV per atom): -7.906

7.
A relaxed structure of LiTiV2O6. Source: Alexandria via LeMat-Bulk, functional PBE with a Hubbard U.

CIF file:
```
data_LiTiV2O6
_chemical_formula_sum 'Li1 Ti1 V2 O6'
_symmetry_space_group_name_H-M 'P 1'
_symmetry_Int_Tables_number 1
_cell_length_a 5.028
_cell_length_b 5.065
_cell_length_c 5.471
_cell_angle_alpha 62.93
_cell_angle_beta 63.40
_cell_angle_gamma 60.81
loop_
_symmetry_equiv_pos_as_xyz
'x,y,z'
loop_
_atom_site_label
_atom_site_type_symbol
_atom_site_fract_x
_atom_site_fract_y
_atom_site_fract_z
Li1 Li 0.000 0.000 0.000
Ti1 Ti 0.495 0.522 0.477
V1 V 0.209 0.214 0.355
V2 V 0.706 0.717 0.864
O1 O 0.118 0.809 0.643
O2 O 0.334 0.585 0.161
O3 O 0.428 0.131 0.633
O4 O 0.583 0.925 0.163
O5 O 0.799 0.445 0.637
O6 O 0.936 0.329 0.164
```

Values from the calculation:
Calculated total energy (eV per atom): -7.799
E above lowest polymorph (eV per atom): 0.000

8.
A relaxed structure of Li4Ti2V7O18. Source: Alexandria via LeMat-Bulk, functional PBE with a Hubbard U.

CIF file:
```
data_Li4Ti2V7O18
_chemical_formula_sum 'Li8 Ti4 V14 O36'
_symmetry_space_group_name_H-M 'P m c 21'
_symmetry_Int_Tables_number 26
_cell_length_a 2.963
_cell_length_b 9.200
_cell_length_c 24.882
_cell_angle_alpha 90.00
_cell_angle_beta 90.00
_cell_angle_gamma 90.00
loop_
_symmetry_equiv_pos_as_xyz
'x,y,z'
'-x,-y,z+1/2'
'-x,y,z'
'x,-y,z+1/2'
loop_
_atom_site_label
_atom_site_type_symbol
_atom_site_fract_x
_atom_site_fract_y
_atom_site_fract_z
Li1 Li 0.000 0.055 0.000
Li2 Li 0.000 0.064 0.806
Li3 Li 0.000 0.440 0.177
Li4 Li 0.000 0.442 0.981
Ti1 Ti 0.000 0.229 0.090
Ti2 Ti 0.000 0.268 0.890
V1 V 0.000 0.240 0.301
V2 V 0.000 0.251 0.489
V3 V 0.000 0.254 0.678
V4 V 0.500 0.084 0.406
V5 V 0.500 0.085 0.184
V6 V 0.500 0.416 0.573
V7 V 0.500 0.418 0.796
O1 O 0.000 0.050 0.132
O2 O 0.000 0.067 0.911
O3 O 0.000 0.137 0.231
O4 O 0.000 0.234 0.412
O5 O 0.000 0.266 0.566
O6 O 0.000 0.375 0.746
O7 O 0.000 0.434 0.070
O8 O 0.000 0.450 0.846
O9 O 0.500 0.103 0.326
O10 O 0.500 0.104 0.489
O11 O 0.500 0.119 0.699
O12 O 0.500 0.175 0.046
O13 O 0.500 0.221 0.833
O14 O 0.500 0.280 0.148
O15 O 0.500 0.327 0.934
O16 O 0.500 0.373 0.283
O17 O 0.500 0.388 0.653
O18 O 0.500 0.397 0.491
```

Values from the calculation:
D(E_F) (states/eV per cell): 1.17
Calculated total energy (eV per atom): -7.521

9.
A relaxed structure of LiTiVO4. Source: Alexandria via LeMat-Bulk, functional PBE with a Hubbard U.

CIF file:
```
data_LiTiVO4
_chemical_formula_sum 'Li4 Ti4 V4 O16'
_symmetry_space_group_name_H-M 'C 1 2/m 1'
_symmetry_Int_Tables_number 12
_cell_length_a 10.403
_cell_length_b 5.997
_cell_length_c 5.953
_cell_angle_alpha 90.00
_cell_angle_beta 124.65
_cell_angle_gamma 90.00
loop_
_symmetry_equiv_pos_as_xyz
'x,y,z'
'-x,-y,-z'
'-x,y,-z'
'x,-y,z'
'x+1/2,y+1/2,z'
'-x+1/2,-y+1/2,-z'
'-x+1/2,y+1/2,-z'
'x+1/2,-y+1/2,z'
loop_
_atom_site_label
_atom_site_type_symbol
_atom_site_fract_x
_atom_site_fract_y
_atom_site_fract_z
Li1 Li 0.129 0.000 0.379
Ti1 Ti 0.000 0.500 0.000
Ti2 Ti 0.000 0.500 0.500
V1 V 0.250 0.250 0.000
O1 O 0.006 0.279 0.756
O2 O 0.231 0.500 0.210
O3 O 0.231 0.500 0.750
```

Values from the calculation:
Calculated total energy (eV per atom): -7.823
E above lowest polymorph (eV per atom): 0.000

10.
A relaxed structure of LiTiVO5. Source: Alexandria via LeMat-Bulk, functional PBE with a Hubbard U.

CIF file:
```
data_LiTiVO5
_chemical_formula_sum 'Li4 Ti4 V4 O20'
_symmetry_space_group_name_H-M 'C 1 2/c 1'
_symmetry_Int_Tables_number 15
_cell_length_a 6.413
_cell_length_b 9.183
_cell_length_c 7.188
_cell_angle_alpha 90.00
_cell_angle_beta 113.52
_cell_angle_gamma 90.00
loop_
_symmetry_equiv_pos_as_xyz
'x,y,z'
'-x,-y,-z'
'-x,y,-z+1/2'
'x,-y,z+1/2'
'x+1/2,y+1/2,z'
'-x+1/2,-y+1/2,-z'
'-x+1/2,y+1/2,-z+1/2'
'x+1/2,-y+1/2,z+1/2'
loop_
_atom_site_label
_atom_site_type_symbol
_atom_site_fract_x
_atom_site_fract_y
_atom_site_fract_z
Li1 Li 0.000 0.217 0.250
Ti1 Ti 0.000 0.500 0.000
V1 V 0.000 0.197 0.750
O1 O 0.000 0.432 0.250
O2 O 0.139 0.307 0.634
O3 O 0.193 0.085 0.930
```

Values from the calculation:
D(E_F) (states/eV per cell): 0.00
Calculated total energy (eV per atom): -7.594
E above lowest polymorph (eV per atom): 0.000

11.
A relaxed structure of LiTi2V3O10. Source: Alexandria via LeMat-Bulk, functional PBE with a Hubbard U.

CIF file:
```
data_LiTi2V3O10
_chemical_formula_sum 'Li1 Ti2 V3 O10'
_symmetry_space_group_name_H-M 'P 1'
_symmetry_Int_Tables_number 1
_cell_length_a 5.119
_cell_length_b 5.147
_cell_length_c 7.818
_cell_angle_alpha 74.32
_cell_angle_beta 76.00
_cell_angle_gamma 79.41
loop_
_symmetry_equiv_pos_as_xyz
'x,y,z'
loop_
_atom_site_label
_atom_site_type_symbol
_atom_site_fract_x
_atom_site_fract_y
_atom_site_fract_z
Li1 Li 0.000 0.000 0.000
Ti1 Ti 0.525 0.781 0.785
Ti2 Ti 0.542 0.565 0.147
V1 V 0.479 0.998 0.349
V2 V 0.492 0.358 0.590
V3 V 0.998 0.686 0.462
O1 O 0.246 0.897 0.246
O2 O 0.287 0.724 0.588
O3 O 0.299 0.362 0.397
O4 O 0.302 0.610 0.987
O5 O 0.314 0.148 0.781
O6 O 0.698 0.214 0.149
O7 O 0.703 0.019 0.523
O8 O 0.728 0.656 0.322
O9 O 0.744 0.784 0.940
O10 O 0.752 0.489 0.679
```

Values from the calculation:
Calculated total energy (eV per atom): -7.959

12.
A relaxed structure of Li2TiVO4. Source: Alexandria via LeMat-Bulk, functional PBE with a Hubbard U.

CIF file:
```
data_Li2TiVO4
_chemical_formula_sum 'Li2 Ti1 V1 O4'
_symmetry_space_group_name_H-M 'P 1 2/m 1'
_symmetry_Int_Tables_number 10
_cell_length_a 5.193
_cell_length_b 2.956
_cell_length_c 5.224
_cell_angle_alpha 90.00
_cell_angle_beta 109.23
_cell_angle_gamma 90.00
loop_
_symmetry_equiv_pos_as_xyz
'x,y,z'
'-x,-y,-z'
'-x,y,-z'
'x,-y,z'
loop_
_atom_site_label
_atom_site_type_symbol
_atom_site_fract_x
_atom_site_fract_y
_atom_site_fract_z
Li1 Li 0.000 0.000 0.000
Li2 Li 0.500 0.500 0.000
Ti1 Ti 0.000 0.500 0.500
V1 V 0.500 0.000 0.500
O1 O 0.235 0.000 0.733
O2 O 0.237 0.500 0.269
```

Values from the calculation:
D(E_F) (states/eV per cell): 1.26
Calculated total energy (eV per atom): -7.252
E above lowest polymorph (eV per atom): 0.011

13.
A relaxed structure of Li2Ti2V3O10. Source: Alexandria via LeMat-Bulk, functional PBE with a Hubbard U.

CIF file:
```
data_Li2Ti2V3O10
_chemical_formula_sum 'Li2 Ti2 V3 O10'
_symmetry_space_group_name_H-M 'P 1'
_symmetry_Int_Tables_number 1
_cell_length_a 5.172
_cell_length_b 5.221
_cell_length_c 7.738
_cell_angle_alpha 75.84
_cell_angle_beta 78.22
_cell_angle_gamma 76.27
loop_
_symmetry_equiv_pos_as_xyz
'x,y,z'
loop_
_atom_site_label
_atom_site_type_symbol
_atom_site_fract_x
_atom_site_fract_y
_atom_site_fract_z
Li1 Li 0.000 0.000 0.000
Li2 Li 0.110 0.571 0.786
Ti1 Ti 0.546 0.914 0.709
Ti2 Ti 0.561 0.655 0.080
V1 V 0.059 0.783 0.387
V2 V 0.514 0.088 0.287
V3 V 0.603 0.469 0.500
O1 O 0.267 0.975 0.174
O2 O 0.327 0.735 0.898
O3 O 0.348 0.467 0.337
O4 O 0.351 0.828 0.528
O5 O 0.397 0.273 0.704
O6 O 0.706 0.301 0.077
O7 O 0.770 0.099 0.460
O8 O 0.770 0.718 0.256
O9 O 0.784 0.834 0.880
O10 O 0.835 0.573 0.605
```

Values from the calculation:
Calculated total energy (eV per atom): -7.773

14.
A relaxed structure of LiTiV3O8. Source: Alexandria via LeMat-Bulk, functional PBE with a Hubbard U.

CIF file:
```
data_LiTiV3O8
_chemical_formula_sum 'Li2 Ti2 V6 O16'
_symmetry_space_group_name_H-M 'C 1 2/m 1'
_symmetry_Int_Tables_number 12
_cell_length_a 10.198
_cell_length_b 6.065
_cell_length_c 6.295
_cell_angle_alpha 90.00
_cell_angle_beta 126.48
_cell_angle_gamma 90.00
loop_
_symmetry_equiv_pos_as_xyz
'x,y,z'
'-x,-y,-z'
'-x,y,-z'
'x,-y,z'
'x+1/2,y+1/2,z'
'-x+1/2,-y+1/2,-z'
'-x+1/2,y+1/2,-z'
'x+1/2,-y+1/2,z'
loop_
_atom_site_label
_atom_site_type_symbol
_atom_site_fract_x
_atom_site_fract_y
_atom_site_fract_z
Li1 Li 0.000 0.000 0.000
Ti1 Ti 0.000 0.000 0.500
V1 V 0.000 0.500 0.500
V2 V 0.250 0.250 0.500
O1 O 0.017 0.240 0.301
O2 O 0.237 0.000 0.695
O3 O 0.245 0.500 0.700
```

Values from the calculation:
Calculated total energy (eV per atom): -7.716
E above lowest polymorph (eV per atom): 0.000

15.
A relaxed structure of Li2TiV5O12. Source: Alexandria via LeMat-Bulk, functional PBE with a Hubbard U.

CIF file:
```
data_Li2TiV5O12
_chemical_formula_sum 'Li4 Ti2 V10 O24'
_symmetry_space_group_name_H-M 'C 1 2 1'
_symmetry_Int_Tables_number 5
_cell_length_a 11.016
_cell_length_b 8.260
_cell_length_c 5.699
_cell_angle_alpha 90.00
_cell_angle_beta 113.44
_cell_angle_gamma 90.00
loop_
_symmetry_equiv_pos_as_xyz
'x,y,z'
'-x,y,-z'
'x+1/2,y+1/2,z'
'-x+1/2,y+1/2,-z'
loop_
_atom_site_label
_atom_site_type_symbol
_atom_site_fract_x
_atom_site_fract_y
_atom_site_fract_z
Li1 Li 0.000 0.000 0.000
Li2 Li 0.000 0.386 0.500
Ti1 Ti 0.000 0.614 0.000
V1 V 0.000 0.767 0.500
V2 V 0.229 0.095 0.567
V3 V 0.235 0.290 0.072
O1 O 0.076 0.800 0.872
O2 O 0.088 0.586 0.396
O3 O 0.151 0.236 0.699
O4 O 0.153 0.502 0.039
O5 O 0.155 0.136 0.216
O6 O 0.160 0.886 0.547
```

Values from the calculation:
Calculated total energy (eV per atom): -7.561